Record 1
{"formula": "PbI2O6", "functional": "PBE-GGA", "state": "relaxed", "lattice_angstrom": [[7.2469, -0.2647, 2.3339], [2.5484, 7.2549, 0.1434], [-0.1623, -0.7509, 7.6523]], "species": ["O", "Pb", "O", "O", "Pb", "O", "I", "O", "I", "O", "O", "O", "I", "O", "O", "O", "I", "O"], "fractional_positions": [[0.2195, 0.0763, 0.6037], [0.7500, 0.9133, 0.0867], [0.7195, 0.6037, 0.0763], [0.4364, 0.3068, 0.4553], [0.2500, 0.0867, 0.9133], [0.5636, 0.6932, 0.5447], [0.7362, 0.4341, 0.2299], [0.2805, 0.3963, 0.9237], [0.2638, 0.5659, 0.7701], [0.1312, 0.7870, 0.9352], [0.7805, 0.9237, 0.3963], [0.8688, 0.2130, 0.0648], [0.7638, 0.7701, 0.5659], [0.9364, 0.4553, 0.3068], [0.0636, 0.5447, 0.6932], [0.3688, 0.0648, 0.2130], [0.2362, 0.2299, 0.4341], [0.6312, 0.9352, 0.7870]], "sg": "C2/c (15)", "raw_formation_energy_ev_per_atom": -0.53, "e_tot_ha_per_atom": -0.169, "e_above_lowest_polymorph_ev_per_atom": 0.046}

Record 2
{"formula": "PbI3O", "functional": "PBE-GGA", "state": "relaxed", "lattice_angstrom": [[-0.2158, 3.4393, -3.9457], [-4.0528, -2.6089, -2.0524], [-3.3124, 2.9680, 2.7682]], "species": ["I", "Pb", "I", "O", "I"], "fractional_positions": [[0.5000, 0.0000, 0.0000], [0.5000, 0.5000, 0.5000], [0.0000, 0.5000, 0.0000], [0.0000, 0.0000, 0.0000], [0.0000, 0.0000, 0.5000]], "sg": "Pm-3m (221)", "raw_formation_energy_ev_per_atom": 0.15, "e_tot_ha_per_atom": -0.092, "e_above_lowest_polymorph_ev_per_atom": 0.000}

Record 3
{"formula": "PbI2O", "functional": "PBE-GGA", "state": "relaxed", "lattice_angstrom": [[-2.3178, 2.3179, -5.9384], [4.6972, -3.6509, -3.2583], [-2.5954, -5.2560, -4.9124]], "species": ["I", "O", "I", "I", "I", "Pb", "Pb", "O"], "fractional_positions": [[0.3750, 0.4758, 0.7500], [0.5000, 0.5000, 0.0000], [0.5242, 0.1250, 0.2500], [0.2258, 0.6250, 0.2500], [0.8750, 0.7742, 0.7500], [0.7500, 0.2500, 0.5000], [0.0000, 0.0000, 0.0000], [0.2500, 0.7500, 0.5000]], "sg": "I-42d (122)", "raw_formation_energy_ev_per_atom": 0.24, "e_tot_ha_per_atom": -0.099, "e_above_lowest_polymorph_ev_per_atom": 0.000}

Record 4
{"formula": "Pb2I2O7", "functional": "PBE-GGA", "state": "relaxed", "lattice_angstrom": [[-0.7640, -3.8056, 3.3587], [-2.9455, -2.7775, -4.5755], [11.4322, -5.7197, -3.8833]], "species": ["O", "O", "O", "O", "O", "O", "O", "O", "O", "O", "O", "I", "I", "Pb", "I", "Pb", "Pb", "O", "O", "I", "O", "Pb"], "fractional_positions": [[0.0384, 0.8686, 0.7580], [0.9421, 0.0887, 0.2554], [0.7763, 0.0529, 0.5007], [0.2170, 0.5836, 0.4335], [0.2650, 0.0341, 0.0823], [0.7830, 0.9166, 0.9335], [0.4774, 0.4080, 0.1846], [0.2239, 0.4470, 0.0007], [0.4387, 0.9103, 0.3054], [0.0578, 0.4114, 0.7555], [0.5224, 0.0919, 0.6845], [0.8313, 0.1973, 0.6229], [0.1123, 0.8138, 0.3580], [0.6629, 0.8385, 0.1477], [0.8878, 0.6863, 0.8580], [0.3243, 0.2074, 0.8514], [0.3369, 0.6614, 0.6478], [0.5614, 0.5897, 0.8055], [0.9615, 0.6314, 0.2580], [0.1686, 0.3026, 0.1229], [0.7350, 0.4658, 0.5824], [0.6759, 0.2927, 0.3514]], "sg": "P2_1 (4)", "raw_formation_energy_ev_per_atom": -0.63, "e_tot_ha_per_atom": -0.174, "e_above_lowest_polymorph_ev_per_atom": 0.000}

Record 5
{"formula": "PbIO3", "functional": "PBE-GGA", "state": "relaxed", "lattice_angstrom": [[-1.4957, 0.7876, 5.8942], [0.9083, -7.9318, 1.2904], [7.2167, 4.7717, 1.1937]], "species": ["Pb", "I", "I", "O", "O", "O", "O", "O", "O", "O", "Pb", "O", "O", "O", "Pb", "I", "O", "Pb", "I", "O"], "fractional_positions": [[0.2202, 0.5281, 0.6454], [0.2640, 0.4260, 0.0779], [0.7360, 0.5740, 0.9221], [0.8255, 0.9798, 0.5909], [0.8217, 0.3158, 0.5707], [0.9104, 0.6915, 0.7813], [0.6745, 0.4798, 0.0909], [0.6783, 0.8158, 0.0707], [0.1783, 0.6842, 0.4293], [0.5896, 0.1915, 0.2813], [0.7202, 0.9719, 0.8546], [0.3255, 0.5202, 0.9091], [0.3217, 0.1842, 0.9293], [0.4104, 0.8085, 0.7187], [0.2798, 0.0281, 0.1454], [0.2360, 0.9260, 0.5779], [0.1745, 0.0202, 0.4091], [0.7798, 0.4719, 0.3546], [0.7640, 0.0740, 0.4221], [0.0896, 0.3085, 0.2187]], "sg": "P2_1/c (14)", "raw_formation_energy_ev_per_atom": -0.51, "e_tot_ha_per_atom": -0.167}

Record 6
{"formula": "PbI2O6", "functional": "PBE-GGA", "state": "relaxed", "lattice_angstrom": [[4.6164, -0.1515, -0.1467], [1.2448, 8.4990, -1.7242], [1.2448, -1.4479, 8.5504]], "species": ["I", "O", "O", "O", "O", "O", "I", "O", "O", "O", "O", "I", "O", "O", "I", "Pb", "O", "Pb"], "fractional_positions": [[0.3567, 0.5534, 0.7820], [0.1946, 0.1123, 0.5930], [0.0019, 0.5583, 0.7061], [0.2231, 0.0464, 0.2485], [0.6946, 0.5930, 0.1123], [0.3054, 0.4070, 0.8877], [0.8567, 0.7820, 0.5534], [0.9981, 0.4417, 0.2939], [0.2769, 0.7515, 0.9536], [0.7769, 0.9536, 0.7515], [0.5019, 0.7061, 0.5583], [0.1433, 0.2180, 0.4466], [0.8054, 0.8877, 0.4070], [0.7231, 0.2485, 0.0464], [0.6433, 0.4466, 0.2180], [0.2500, 0.1365, 0.8635], [0.4981, 0.2939, 0.4417], [0.7500, 0.8635, 0.1365]], "sg": "C2/c (15)", "raw_formation_energy_ev_per_atom": -0.53, "e_tot_ha_per_atom": -0.169, "e_above_lowest_polymorph_ev_per_atom": 0.041}

Record 7
{"formula": "PbI2O", "functional": "PBE-GGA", "state": "relaxed", "lattice_angstrom": [[0.0000, 3.8922, 3.8922], [3.8922, 0.0000, 3.8922], [3.8922, 3.8922, 0.0000]], "species": ["Pb", "I", "O", "I"], "fractional_positions": [[0.5000, 0.5000, 0.5000], [0.2500, 0.2500, 0.2500], [0.0000, 0.0000, 0.0000], [0.7500, 0.7500, 0.7500]], "sg": "Fm-3m (225)", "raw_formation_energy_ev_per_atom": 0.24, "e_tot_ha_per_atom": -0.099, "e_above_lowest_polymorph_ev_per_atom": 0.002}

Record 8
{"formula": "PbI3O", "functional": "PBE-GGA", "state": "relaxed", "lattice_angstrom": [[6.1735, 0.0000, 0.0000], [0.0000, 6.1735, 0.0000], [0.0000, 0.0000, 6.1735]], "species": ["Pb", "I", "I", "O", "I"], "fractional_positions": [[0.0000, 0.0000, 0.0000], [0.5000, 0.0000, 0.0000], [0.0000, 0.0000, 0.5000], [0.5000, 0.5000, 0.5000], [0.0000, 0.5000, 0.0000]], "sg": "Pm-3m (221)", "raw_formation_energy_ev_per_atom": 0.71, "e_tot_ha_per_atom": -0.072, "e_above_lowest_polymorph_ev_per_atom": 0.557}

Record 9
{"formula": "PbI2O6", "functional": "PBE-GGA", "state": "relaxed", "lattice_angstrom": [[-3.8088, -5.2586, 2.6863], [3.0963, -6.6096, -0.0498], [5.2667, 2.3321, 12.1170]], "species": ["O", "O", "O", "I", "O", "O", "Pb", "I", "I", "O", "O", "O", "Pb", "I", "O", "O", "O", "Pb", "I", "O", "Pb", "O", "O", "O", "I", "O", "O", "I", "O", "O", "O", "O", "O", "O", "O", "I"], "fractional_positions": [[0.6938, 0.9053, 0.2491], [0.2628, 0.0537, 0.5184], [0.5836, 0.8803, 0.9046], [0.6595, 0.4722, 0.8858], [0.0958, 0.0497, 0.3269], [0.0945, 0.5481, 0.1729], [0.9700, 0.8463, 0.8691], [0.3404, 0.6224, 0.6161], [0.3406, 0.1233, 0.8838], [0.8510, 0.9581, 0.0615], [0.9042, 0.9503, 0.6731], [0.5831, 0.3793, 0.5953], [0.0300, 0.1537, 0.1309], [0.3405, 0.5278, 0.1142], [0.3062, 0.0947, 0.7509], [0.6804, 0.2162, 0.8584], [0.6942, 0.4061, 0.2508], [0.9697, 0.3456, 0.6310], [0.3411, 0.0289, 0.3859], [0.1484, 0.5414, 0.5620], [0.0303, 0.6544, 0.3690], [0.7372, 0.9463, 0.4816], [0.1490, 0.0419, 0.9385], [0.4169, 0.6207, 0.4047], [0.6594, 0.8767, 0.1162], [0.8516, 0.4586, 0.4380], [0.3208, 0.2850, 0.3586], [0.6596, 0.3776, 0.3839], [0.7365, 0.4467, 0.0183], [0.3058, 0.5939, 0.7492], [0.4164, 0.1197, 0.0954], [0.6792, 0.7150, 0.6414], [0.2635, 0.5533, 0.9817], [0.9055, 0.4519, 0.8271], [0.3196, 0.7838, 0.1416], [0.6589, 0.9711, 0.6141]], "sg": "P-1 (2)", "raw_formation_energy_ev_per_atom": -0.57, "e_tot_ha_per_atom": -0.170, "e_above_lowest_polymorph_ev_per_atom": 0.001}

Record 10
{"formula": "Pb3I2O2", "functional": "PBE-GGA", "state": "relaxed", "lattice_angstrom": [[3.9258, 0.0000, 1.1995], [1.3996, 6.5863, 2.4435], [-0.3271, -0.0592, 8.0947]], "species": ["I", "Pb", "Pb", "O", "O", "Pb", "I"], "fractional_positions": [[0.5678, 0.1919, 0.6725], [0.8039, 0.5898, 0.8025], [0.1961, 0.4102, 0.1975], [0.2005, 0.6619, 0.9370], [0.7995, 0.3381, 0.0630], [0.0000, 0.0000, 0.0000], [0.4322, 0.8081, 0.3275]], "sg": "C2/m (12)", "raw_formation_energy_ev_per_atom": -0.92, "e_tot_ha_per_atom": -0.161, "e_above_lowest_polymorph_ev_per_atom": 0.046}

Record 11
{"formula": "PbI2O6", "functional": "PBE-GGA", "state": "relaxed", "lattice_angstrom": [[-0.3243, 3.2972, 4.5511], [-6.1776, -0.0227, -0.4238], [-0.6335, -13.8326, 9.9763]], "species": ["I", "O", "O", "O", "O", "O", "O", "I", "O", "O", "O", "O", "I", "O", "O", "O", "Pb", "Pb", "O", "O", "O", "I", "Pb", "O", "O", "Pb", "I", "O", "O", "O", "O", "O", "I", "O", "I", "I"], "fractional_positions": [[0.2534, 0.8036, 0.8382], [0.5866, 0.5843, 0.6128], [0.1020, 0.4007, 0.5700], [0.8980, 0.9007, 0.5700], [0.0866, 0.5843, 0.8872], [0.5026, 0.3452, 0.2089], [0.1020, 0.0993, 0.4300], [0.2466, 0.1964, 0.3382], [0.4974, 0.8452, 0.2089], [0.0026, 0.3452, 0.2911], [0.0866, 0.9157, 0.1128], [0.5026, 0.1548, 0.7911], [0.7466, 0.1964, 0.1618], [0.9974, 0.8452, 0.2911], [0.9974, 0.6548, 0.7089], [0.6020, 0.0993, 0.0700], [0.2370, 0.7500, 0.5000], [0.7630, 0.2500, 0.5000], [0.4134, 0.4157, 0.3872], [0.5866, 0.9157, 0.3872], [0.9134, 0.0843, 0.8872], [0.7466, 0.3036, 0.8382], [0.7370, 0.7500, 0.0000], [0.4134, 0.0843, 0.6128], [0.6020, 0.4007, 0.9300], [0.2630, 0.2500, 0.0000], [0.7534, 0.8036, 0.6618], [0.8980, 0.5993, 0.4300], [0.0026, 0.1548, 0.7089], [0.3980, 0.9007, 0.9300], [0.4974, 0.6548, 0.7911], [0.3980, 0.5993, 0.0700], [0.7534, 0.6964, 0.3382], [0.9134, 0.4157, 0.1128], [0.2466, 0.3036, 0.6618], [0.2534, 0.6964, 0.1618]], "sg": "Pbcn (60)", "raw_formation_energy_ev_per_atom": -0.58, "e_tot_ha_per_atom": -0.170, "e_above_lowest_polymorph_ev_per_atom": 0.000}

Record 12
{"formula": "Pb2I2O", "functional": "PBE-GGA", "state": "relaxed", "lattice_angstrom": [[-3.7281, 5.1456, -1.8947], [-3.1025, -0.5786, -7.0692], [-8.5766, -1.4765, 1.2634]], "species": ["Pb", "Pb", "Pb", "I", "O", "I", "Pb", "I", "I", "O"], "fractional_positions": [[0.5579, 0.7672, 0.1170], [0.7971, 0.7815, 0.6243], [0.2029, 0.2185, 0.3757], [0.3202, 0.7798, 0.5798], [0.3843, 0.0842, 0.1471], [0.6798, 0.2202, 0.4202], [0.4421, 0.2328, 0.8830], [0.9043, 0.3488, 0.8427], [0.0957, 0.6512, 0.1573], [0.6157, 0.9158, 0.8529]], "sg": "C2/m (12)", "raw_formation_energy_ev_per_atom": -0.85, "e_tot_ha_per_atom": -0.145}